Entry 1:
Density functional theory data (PBE-GGA) for a relaxed structure of Pm6NiIr2Br3.

Output
V	28.30	A^3/atom
calculated total energy	-69.2	eV/cell
formation energy without anion corrections	-1015	meV per atom
crystal system	monoclinic
DOS at the Fermi energy	0.465	states/eV/atom

Cell: 7.1121 7.1121 8.1052 Å, 98.41 98.41 119.99°
Last column: nearest neighbours and their distance in Å.
Sites, in units of the cell vectors:
Br: 0.8336 0.1664 0.5000  6 Pm 3.34-3.36
Br: 0.5000 0.5000 0.5000  6 Pm 3.35-3.36
Br: 0.1664 0.8336 0.5000  6 Pm 3.34-3.36
Pm: 0.7334 0.7334 0.1943  1 Ni 2.80, 2 Ir 2.81
Pm: 0.2666 0.2666 0.8057  1 Ni 2.80, 2 Ir 2.81
Pm: 0.6038 0.9353 0.8058  1 Ni 2.80, 2 Ir 2.81
Pm: 0.0647 0.3962 0.1942  1 Ni 2.80, 2 Ir 2.81
Pm: 0.9353 0.6038 0.8058  1 Ni 2.80, 2 Ir 2.81
Pm: 0.3962 0.0647 0.1942  1 Ni 2.80, 2 Ir 2.81
Ir: 0.6667 0.3333 0.0000  6 Pm 2.81
Ir: 0.3333 0.6667 0.0000  6 Pm 2.81
Ni: 0.0000 0.0000 0.0000  6 Pm 2.80

=====

Entry 2:
Density functional theory data (PBE-GGA) for a relaxed structure of ZrCo2Rh.

Output
V	14.63	A^3/atom
calculated total energy	-30.8	eV/cell
calculated formation energy	-0.18	eV per atom
crystal system	tetragonal
DOS at the Fermi energy	1.306	states/eV/atom

Cell: 3.2104 3.2104 5.6771 Å, 90.00 90.00 90.00°
Last column: nearest neighbours and their distance in Å.
Sites, in units of the cell vectors:
Rh: 0.0000 0.0000 0.4855  5 Co 2.54-2.72, 4 Zr 2.74
Co: 0.5000 0.5000 0.2216  4 Co 2.50, 1 Zr 2.65, 4 Rh 2.72
Co: 0.0000 0.0000 0.0374  4 Co 2.50, 1 Rh 2.54, 4 Zr 2.78
Zr: 0.5000 0.5000 0.7555  5 Co 2.65-2.78, 4 Rh 2.74

=====

Entry 3:
Density functional theory data (PBE-GGA) for a relaxed structure of ScZnPd4.

Output
V	18.00	A^3/atom
calculated total energy	-30.7	eV/cell
calculated formation energy	-0.39	eV per atom
crystal system	monoclinic
DOS at the Fermi energy	0.370	states/eV/atom

Cell: 4.2572 4.2635 7.2996 Å, 72.80 73.05 60.05°
Last column: nearest neighbours and their distance in Å.
Sites, in units of the cell vectors:
Sc: 0.5000 0.5000 0.5000  8 Pd 2.63-2.65
Zn: 0.0000 0.0000 0.0000  8 Pd 2.51-2.58
Pd: 0.1223 0.1205 0.6350  1 Zn 2.51, 3 Sc 2.63
Pd: 0.3709 0.3722 0.8861  3 Zn 2.58, 1 Sc 2.65
Pd: 0.6291 0.6278 0.1139  3 Zn 2.58, 1 Sc 2.65
Pd: 0.8777 0.8795 0.3650  1 Zn 2.51, 3 Sc 2.63

=====

Entry 4:
Density functional theory data (PBE-GGA) for a relaxed structure of NaY2Mn2.

Output
V	24.31	A^3/atom
calculated total energy	-62.0	eV/cell
energy above the lowest structure with this stoichiometry	0.000	eV per atom
calculated formation energy	0.32	eV per atom
crystal system	tetragonal
DOS at the Fermi energy	0.869	states/eV/atom

Cell: 8.3279 8.3279 3.5048 Å, 90.00 90.00 90.00°
Last column: nearest neighbours and their distance in Å.
Sites, in units of the cell vectors:
Na: 0.5000 0.5000 0.0000  4 Mn 3.36, 2 Na 3.50, 8 Y 3.55
Na: 0.0000 0.0000 0.0000  4 Mn 3.36, 2 Na 3.50, 8 Y 3.55
Y: 0.8272 0.3272 0.5000  6 Mn 2.99-3.08
Y: 0.3272 0.1728 0.5000  6 Mn 2.99-3.08
Y: 0.1728 0.6728 0.5000  6 Mn 2.99-3.08
Y: 0.6728 0.8272 0.5000  6 Mn 2.99-3.08
Mn: 0.6123 0.1123 0.0000  1 Mn 2.64
Mn: 0.3877 0.8877 0.0000  1 Mn 2.64
Mn: 0.8877 0.6123 0.0000  1 Mn 2.64
Mn: 0.1123 0.3877 0.0000  1 Mn 2.64

=====

Total magnetization list, top to bottom, in μB/cell: 0.00 2.92 0.00 11.79